The following is a PBE calculation of an optimized crystal structure of TaFeTcAs, from OQMD via LeMat-Bulk.

Cell and atoms, written as extended XYZ:
```
4
Lattice="0.000 3.114 3.114 3.114 0.000 3.114 3.114 3.114 0.000" Properties=species:S:1:pos:R:3 pbc="T T T"
As 0.000 0.000 0.000
Fe 4.671 4.671 4.671
Ta 1.557 1.557 1.557
Tc 3.114 3.114 3.114
```

The total magnetic moment is 3.54 μB/f.u. For the uncorrected energy, the calculation gives -8.574 eV/atom. The calculated density comes out at 11.26 g cm⁻³. For the energy above the most stable polymorph in this dataset, the calculation gives 245 meV/atom.